ThPaAl (PBE, relaxed); Fermi-level density of states = 4.94 states/eV per cell; formation energy from the elements = 0.039 eV per atom; DFT total energy = -20.5 eV per cell; energy relative to the lowest polymorph listed for this composition = 0.0000 eV/atom; total moment = 0.0 μB per formula unit
1.0
3.933 0.000 0.000
0.000 3.933 0.000
-1.966 -1.966 4.989
Th Pa Al
1 1 1
Cartesian
1.966 1.966 1.293 Th
1.966 1.966 4.333 Pa
0.000 0.000 2.856 Al



LaTeS4 (PBE, relaxed); Fermi-level density of states = 4.40 states/eV per cell; formation energy (no corrections) = -0.66 eV per atom; DFT total energy = -57.1 eV per cell; total moment = 0.0 μB per formula unit
1.0
7.109 0.000 -0.371
0.000 7.003 0.000
-0.556 0.000 6.222
S La Te
8 2 2
Cartesian
2.565 5.965 0.725 S
3.988 1.038 5.126 S
1.359 5.451 4.223 S
6.119 4.539 0.540 S
5.194 1.552 1.628 S
0.434 2.464 5.311 S
1.639 1.950 1.814 S
4.913 5.053 4.037 S
0.000 0.000 0.000 La
3.554 3.502 -0.185 La
-0.278 3.502 3.111 Te
3.276 0.000 2.925 Te



TlPW4 (PBE, relaxed); Fermi-level density of states = 4.39 states/eV per cell; formation energy from the elements = 0.982 eV per atom; DFT total energy = -53.7 eV per cell; total moment = 0.0 μB per formula unit
1.0
1.849 -3.554 -3.584
2.192 -4.613 1.674
-2.597 -4.643 -0.766
W Tl P
4 1 1
Cartesian
1.641 -7.113 -0.161 W
-0.764 -7.128 -1.387 W
0.541 -4.797 -1.002 W
1.469 -6.581 -2.802 W
0.000 0.000 0.000 Tl
1.083 -9.607 -2.007 P



Re2SnPRu (PBE, relaxed); Fermi-level density of states = 6.46 states/eV per cell; formation energy from the elements = 1.496 eV per atom; DFT total energy = -36.1 eV per cell; total moment = 0.0 μB per formula unit
1.0
4.822 0.000 0.000
0.000 4.313 0.000
0.000 0.000 4.822
P Ru Sn Re
1 1 1 2
Cartesian
0.000 2.156 0.000 P
0.000 0.000 0.000 Ru
2.411 2.156 2.411 Sn
0.000 0.000 2.411 Re
2.411 0.000 0.000 Re



AlCdGa4 (PBE, relaxed); Fermi-level density of states = 1.88 states/eV per cell; formation energy from the elements = 0.072 eV per atom; DFT total energy = -16.3 eV per cell; energy relative to the lowest polymorph listed for this composition = 0.0091 eV/atom; total moment = 0.0 μB per formula unit
1.0
-2.845 1.713 -2.560
-3.800 -1.733 0.716
-6.451 5.057 3.388
Ga Cd Al
4 1 1
Cartesian
-5.794 1.841 -1.465 Ga
-7.370 0.868 0.628 Ga
-5.725 4.169 0.915 Ga
-7.301 3.196 3.008 Ga
-1.422 0.857 -1.280 Cd
-5.125 1.662 2.052 Al



ZrZn2Mo (PBE, relaxed); Fermi-level density of states = 2.34 states/eV per cell; formation energy from the elements = 0.108 eV per atom; DFT total energy = -21.5 eV per cell; energy relative to the lowest polymorph listed for this composition = 0.2012 eV/atom; total moment = 0.0 μB per formula unit
1.0
-1.752 -0.073 2.239
-2.115 -3.012 -1.754
3.496 -3.973 2.606
Mo Zn Zr
1 2 1
Cartesian
0.748 -4.590 2.241 Mo
-1.122 -2.464 0.847 Zn
3.484 -3.959 2.597 Zn
1.763 -2.004 1.314 Zr



Which formula does entry 5 have?
AlCdGa4



What is the total moment in the sixth record?
0.0 μB per formula unit